The following is a DFT calculation (PBEsol) of a relaxed structure of CsGe2As2.

a b c (Å): 4.682 4.682 7.140
angles (deg): 109.14 109.14 90.00
Sites, in units of the cell vectors:
As1 0.341 0.341 0.681
As2 0.659 0.659 0.319
Cs1 0.000 0.000 0.000
Ge1 0.750 0.250 0.500
Ge2 0.250 0.750 0.500

For the formation energy, the calculation gives -0.17 eV per atom. For the electronic total energy, the calculation gives -4.380 eV/atom. For the density, the calculation gives 5.1 g/cm³.


The following is a DFT calculation (PBEsol) of a relaxed structure of CsAsH2O4.

a b c (Å): 6.823 6.921 6.823
angles (deg): 71.27 69.59 108.73
Sites, in units of the cell vectors:
H1 0.234 0.595 0.895
H2 0.889 0.905 0.740
H3 0.355 0.095 0.016
H4 0.510 0.405 0.361
O1 0.515 0.550 0.227
O2 0.520 0.242 0.530
O3 0.215 0.950 0.027
O4 0.527 0.258 0.022
O5 0.720 0.742 0.730
O6 0.023 0.050 0.735
O7 0.223 0.450 0.035
O8 0.228 0.758 0.723
As1 0.253 0.000 0.747
As2 0.503 0.500 0.997
Cs1 0.743 0.000 0.257
Cs2 0.993 0.500 0.507

For the electronic total energy, the calculation gives -5.601 eV/atom. For the density, the calculation gives 3.6 g/cm³.


The following is a DFT calculation (PBEsol) of a relaxed structure of Cs2ReAsH.

a b c (Å): 4.649 5.986 5.986
angles (deg): 90.00 90.00 90.00
Sites, in units of the cell vectors:
H1 0.500 0.500 0.500
Cs1 0.000 0.000 0.500
Cs2 0.000 0.500 0.000
As1 0.500 0.000 0.000
Re1 0.000 0.000 0.000

For the electronic total energy, the calculation gives -3.886 eV/atom. For the density, the calculation gives 5.3 g/cm³.


The following is a DFT calculation (PBEsol) of a relaxed structure of CsAs2HSe.

a b c (Å): 6.054 7.555 7.555
angles (deg): 90.00 90.00 90.00
Site moments in Bohr magnetons follow the coordinates.
Sites, in units of the cell vectors:
H1 0.500 0.500 0.500  0.37
Se1 0.500 0.000 0.000  0.28
As1 0.000 0.500 0.000  1.22
As2 0.000 0.000 0.500  1.22
Cs1 0.000 0.000 0.000  0.05

For the electronic total energy, the calculation gives -1.853 eV/atom. For the density, the calculation gives 1.7 g/cm³.


The following is a DFT calculation (PBEsol) of a relaxed structure of Cs2SnAsH.

a b c (Å): 3.630 6.538 6.538
angles (deg): 90.00 90.00 90.00
Sites, in units of the cell vectors:
As1 0.500 0.000 0.000
Sn1 0.500 0.500 0.500
Cs1 0.000 0.500 0.000
Cs2 0.000 0.000 0.500
H1 0.000 0.000 0.000

For the electronic total energy, the calculation gives -2.782 eV/atom. For the density, the calculation gives 4.9 g/cm³.


The following is a DFT calculation (PBEsol) of a relaxed structure of CsHf2As2.

a b c (Å): 4.443 4.443 8.161
angles (deg): 105.80 105.80 90.00
Sites, in units of the cell vectors:
As1 0.654 0.654 0.307
As2 0.346 0.346 0.693
Cs1 0.000 0.000 0.000
Hf1 0.750 0.250 0.500
Hf2 0.250 0.750 0.500

For the formation energy, the calculation gives -0.60 eV per atom. For the electronic total energy, the calculation gives -7.036 eV/atom. For the density, the calculation gives 7.1 g/cm³.


The following is a DFT calculation (PBEsol) of a relaxed structure of Cs2HgAs2.

a b c (Å): 3.826 3.826 11.894
angles (deg): 99.26 99.26 90.00
Sites, in units of the cell vectors:
Hg1 0.000 0.000 0.000
Cs1 0.380 0.380 0.760
Cs2 0.620 0.620 0.240
As1 0.250 0.750 0.500
As2 0.750 0.250 0.500

For the formation energy, the calculation gives -0.14 eV per atom. For the electronic total energy, the calculation gives -2.668 eV/atom. For the density, the calculation gives 6.0 g/cm³. Its energy above the lowest structure with this stoichiometry is 0.0052 eV/atom.


The following is a DFT calculation (PBEsol) of a relaxed structure of Cs2HgAs2.

a b c (Å): 6.504 6.504 6.504
angles (deg): 95.94 116.63 116.63
Sites, in units of the cell vectors:
Cs1 0.500 0.750 0.250
Cs2 0.500 0.250 0.750
As1 0.000 0.632 0.632
As2 0.000 0.368 0.368
Hg1 0.000 0.000 0.000

For the formation energy, the calculation gives -0.14 eV per atom. For the electronic total energy, the calculation gives -2.673 eV/atom. For the density, the calculation gives 5.0 g/cm³. Its energy above the lowest structure with this stoichiometry is 0.0000 eV/atom.


The following is a DFT calculation (PBEsol) of a relaxed structure of Cs3AsI6.

a b c (Å): 8.939 8.939 8.939
angles (deg): 60.00 60.00 60.00
Sites, in units of the cell vectors:
I1 0.224 0.224 0.776
I2 0.776 0.224 0.776
I3 0.776 0.776 0.224
I4 0.224 0.776 0.776
I5 0.224 0.776 0.224
I6 0.776 0.224 0.224
Cs1 0.750 0.750 0.750
Cs2 0.250 0.250 0.250
Cs3 0.500 0.500 0.500
As1 0.000 0.000 0.000

For the electronic total energy, the calculation gives -2.797 eV/atom. Its formation energy without anion corrections is -0.944 eV/atom. For the density, the calculation gives 4.1 g/cm³.


The following is a DFT calculation (PBEsol) of a relaxed structure of Cs2InAsI6.

a b c (Å): 8.406 8.406 8.406
angles (deg): 60.00 60.00 60.00
Sites, in units of the cell vectors:
Cs1 0.750 0.750 0.750
Cs2 0.250 0.250 0.250
I1 0.241 0.759 0.759
I2 0.759 0.241 0.759
I3 0.241 0.759 0.241
I4 0.759 0.759 0.241
I5 0.759 0.241 0.241
I6 0.241 0.241 0.759
As1 0.000 0.000 0.000
In1 0.500 0.500 0.500

For the electronic total energy, the calculation gives -2.871 eV/atom. Its formation energy without anion corrections is -0.814 eV/atom. For the density, the calculation gives 4.8 g/cm³.


The following is a DFT calculation (PBEsol) of a relaxed structure of Cs2KAsI6.

a b c (Å): 8.622 8.622 8.622
angles (deg): 60.00 60.00 60.00
Sites, in units of the cell vectors:
I1 0.232 0.768 0.232
I2 0.768 0.232 0.232
I3 0.768 0.768 0.232
I4 0.232 0.232 0.768
I5 0.232 0.768 0.768
I6 0.768 0.232 0.768
K1 0.500 0.500 0.500
Cs1 0.750 0.750 0.750
Cs2 0.250 0.250 0.250
As1 0.000 0.000 0.000

For the electronic total energy, the calculation gives -2.826 eV/atom. Its formation energy without anion corrections is -0.953 eV/atom. For the density, the calculation gives 4.2 g/cm³.


The following is a DFT calculation (PBEsol) of a relaxed structure of CsAsIN2.

a b c (Å): 4.621 4.621 5.741
angles (deg): 90.00 90.00 90.00
Site moments in Bohr magnetons follow the coordinates.
Sites, in units of the cell vectors:
Cs1 0.500 0.500 0.500  0.01
As1 0.000 0.000 0.000  -0.07
N1 0.500 0.000 0.000  1.03
N2 0.000 0.500 0.000  1.03
I1 0.000 0.000 0.500  0.05

For the electronic total energy, the calculation gives -3.835 eV/atom. Its formation energy without anion corrections is 1.139 eV/atom. For the density, the calculation gives 4.9 g/cm³.


The following is a DFT calculation (PBEsol) of a relaxed structure of Cs2RbAsI6.

a b c (Å): 8.765 8.765 8.765
angles (deg): 60.00 60.00 60.00
Sites, in units of the cell vectors:
Cs1 0.250 0.250 0.250
Cs2 0.750 0.750 0.750
Rb1 0.500 0.500 0.500
I1 0.772 0.772 0.228
I2 0.228 0.772 0.228
I3 0.772 0.228 0.772
I4 0.228 0.772 0.772
I5 0.228 0.228 0.772
I6 0.772 0.228 0.228
As1 0.000 0.000 0.000

For the electronic total energy, the calculation gives -2.808 eV/atom. Its formation energy without anion corrections is -0.947 eV/atom. For the density, the calculation gives 4.1 g/cm³.


The following is a DFT calculation (PBEsol) of a relaxed structure of CsAs2Ir2.

a b c (Å): 4.010 4.010 7.771
angles (deg): 104.95 104.95 90.00
Sites, in units of the cell vectors:
Cs1 0.000 0.000 0.000
Ir1 0.750 0.250 0.500
Ir2 0.250 0.750 0.500
As1 0.346 0.346 0.693
As2 0.654 0.654 0.307

For the formation energy, the calculation gives -0.45 eV per atom. For the electronic total energy, the calculation gives -6.608 eV/atom. For the density, the calculation gives 9.5 g/cm³.


The following is a DFT calculation (PBEsol) of a relaxed structure of Cs3AsIr.

a b c (Å): 5.809 5.809 5.809
angles (deg): 90.00 90.00 90.00
Site moments in Bohr magnetons follow the coordinates.
Sites, in units of the cell vectors:
Cs1 0.000 0.500 0.000  0.01
Cs2 0.500 0.000 0.000  0.01
Cs3 0.000 0.000 0.500  0.01
Ir1 0.000 0.000 0.000  0.03
As1 0.500 0.500 0.500  0.53

For the formation energy, the calculation gives 0.74 eV per atom. For the electronic total energy, the calculation gives -2.813 eV/atom. For the density, the calculation gives 5.6 g/cm³.


The following is a DFT calculation (PBEsol) of a relaxed structure of CsK2As2.

a b c (Å): 5.367 5.367 7.381
angles (deg): 111.32 111.32 90.00
Site moments in Bohr magnetons follow the coordinates.
Sites, in units of the cell vectors:
As1 0.594 0.594 0.188  0.09
As2 0.406 0.406 0.812  0.09
Cs1 0.000 0.000 0.000  0.00
K1 0.750 0.250 0.500  0.01
K2 0.250 0.750 0.500  0.01

For the formation energy, the calculation gives -0.29 eV per atom. For the electronic total energy, the calculation gives -2.978 eV/atom. For the density, the calculation gives 3.3 g/cm³.


The following is a DFT calculation (PBEsol) of a relaxed structure of CsKAs2.

a b c (Å): 5.646 5.646 5.646
angles (deg): 60.00 60.00 60.00
Sites, in units of the cell vectors:
Cs1 0.500 0.500 0.500
As1 0.250 0.250 0.250
As2 0.750 0.750 0.750
K1 0.000 0.000 0.000

For the formation energy, the calculation gives 0.26 eV per atom. For the electronic total energy, the calculation gives -2.817 eV/atom. For the density, the calculation gives 4.2 g/cm³.


The following is a DFT calculation (PBEsol) of a relaxed structure of Cs2KTlAs.

a b c (Å): 5.423 7.236 7.236
angles (deg): 90.00 90.00 90.00
Sites, in units of the cell vectors:
As1 0.000 0.000 0.000
Cs1 0.000 0.000 0.500
Cs2 0.000 0.500 0.000
Tl1 0.500 0.000 0.000
K1 0.500 0.500 0.500

For the formation energy, the calculation gives -0.04 eV per atom. For the electronic total energy, the calculation gives -2.191 eV/atom. For the density, the calculation gives 3.4 g/cm³.


The following is a DFT calculation (PBEsol) of a relaxed structure of Cs2KZnAs.

a b c (Å): 6.046 6.353 6.353
angles (deg): 90.00 90.00 90.00
Site moments in Bohr magnetons follow the coordinates.
Sites, in units of the cell vectors:
K1 0.500 0.000 0.000  -0.01
Cs1 0.000 0.000 0.500  0.00
Cs2 0.000 0.500 0.000  0.00
As1 0.500 0.500 0.500  0.21
Zn1 0.000 0.000 0.000  -0.03

For the formation energy, the calculation gives 0.39 eV per atom. For the electronic total energy, the calculation gives -1.550 eV/atom. For the density, the calculation gives 3.0 g/cm³.


The following is a DFT calculation (PBEsol) of a relaxed structure of CsLa2As.

a b c (Å): 7.090 7.248 7.248
angles (deg): 76.16 60.72 60.72
Sites, in units of the cell vectors:
La1 0.566 0.059 0.559
La2 0.184 0.941 0.441
La3 0.875 0.559 0.941
La4 0.375 0.441 0.059
As1 0.500 0.000 0.000
As2 0.250 0.500 0.500
Cs1 0.750 0.500 0.500
Cs2 0.000 0.000 0.000

For the formation energy, the calculation gives -0.13 eV per atom. For the electronic total energy, the calculation gives -4.318 eV/atom. For the density, the calculation gives 5.7 g/cm³.